[1]
Material: La3Tb6Ho2Er
Method: DFT, GGA-PBE
State: optimized geometry

Space group = C2/m, No. 12
ΔH_f (0 K) = 0.02 eV per atom

a b c (Å): 6.2343 6.2343 11.9217
angles (deg): 95.01 95.01 120.02
Fractional positions:
1 La 0.0000 0.0000 0.0000
2 La 0.3332 0.6668 0.0000
3 La 0.6668 0.3332 0.0000
4 Tb 0.0859 0.4191 0.2566
5 Tb 0.2477 0.2477 0.7435
6 Tb 0.4191 0.0859 0.2566
7 Tb 0.5809 0.9141 0.7434
8 Tb 0.7523 0.7523 0.2565
9 Tb 0.9141 0.5809 0.7434
10 Ho 0.1666 0.8334 0.5000
11 Ho 0.8334 0.1666 0.5000
12 Er 0.5000 0.5000 0.5000



[2]
Material: Si2BPBr
Method: DFT, GGA-PBE
State: optimized geometry

Uncorrected formation energy = 0.986 eV/atom
Space group = P4/mmm, No. 123

a b c (Å): 5.0393 5.0393 3.6228
angles (deg): 90.00 90.00 90.00
Fractional positions:
1 Si 0.0000 0.5000 0.0000
2 Si 0.5000 0.0000 0.0000
3 B 0.0000 0.0000 0.5000
4 P 0.0000 0.0000 0.0000
5 Br 0.5000 0.5000 0.5000



no.,spin magnetization (μB/atom)
1,0.000
2,0.000